No. 1
Ho6In2Ni | GGA-PBE | optimized geometry

Summary:
The calculation puts the energy above the most stable polymorph in this dataset at 72.6 meV/atom. The calculation puts the total magnetic moment at 0.0 μB/f.u. For the energy of formation, the calculation gives -0.256 eV per atom.

```
18
Lattice="7.0806 0.0000 0.3196 0.0000 7.0814 0.0000 -0.4449 0.0000 9.9868" Properties=species:S:1:pos:R:3 pbc="T T T"
Ho 6.8181 7.0810 2.7595
Ho 5.0605 5.2743 5.3397
Ho 4.9087 5.3325 10.1208
Ho 5.0448 1.7918 5.3387
Ho 4.8930 1.7336 10.1199
Ho 3.5803 3.5403 2.7133
Ho -0.1824 0.0004 7.5469
Ho 1.5752 1.8071 4.9667
Ho 1.7270 1.7489 0.1856
Ho 1.5909 5.2896 4.9676
Ho 1.7427 5.3478 0.1865
Ho 3.0554 3.5411 7.5930
In -0.3319 3.5386 7.4907
In 3.2049 7.0793 7.6494
In 3.4309 0.0021 2.6570
In 6.9676 3.5428 2.8157
Ni 3.5403 3.5407 0.1598
Ni -0.2225 0.0000 4.9934
```

=====

No. 2
AgRuSe2 | GGA-PBE | optimized geometry

Summary:
The calculation puts the energy above the most stable polymorph in this dataset at 277.4 meV/atom. Its uncorrected formation energy is 0.189 eV/atom. The calculation puts the total magnetic moment at 0.0 μB/f.u.

```
4
Lattice="-7.5371 -5.9947 -2.0351 -7.3566 -6.4628 0.9993 -8.9586 -4.0768 -0.0960" Properties=species:S:1:pos:R:3 pbc="T T T"
Ag -11.7462 -8.1424 -0.5574
Ru -17.7763 -12.3224 -0.8435
Se -0.5540 -0.3840 -0.0263
Se -5.7020 -3.9526 -0.2706
```

=====

No. 3
FeHg2Cl | GGA-PBE | optimized geometry

Summary:
The calculation puts the energy above the most stable polymorph in this dataset at 32.1 meV/atom. Its uncorrected formation energy is -0.003 eV/atom. The calculation puts the total magnetic moment at 3.3 μB/f.u.

```
4
Lattice="-2.0580 -2.1221 1.2366 2.4853 -1.7197 1.1852 -0.2998 4.8402 7.8071" Properties=species:S:1:pos:R:3 pbc="T T T"
Cl 1.3953 1.6878 5.2187
Hg 0.0270 4.3033 7.4298
Hg -0.8035 -0.0982 2.6459
Fe 0.3015 1.5060 7.2379
```

=====

No. 4
Tb2CoGe3Ir4 | GGA-PBE | optimized geometry

Summary:
The calculation puts the total magnetic moment at 1.3 μB/f.u. For the energy of formation, the calculation gives -0.672 eV per atom.

```
10
Lattice="4.1501 0.0000 0.0000 0.0000 4.1501 0.0000 0.0000 0.0000 10.2963" Properties=species:S:1:pos:R:3 pbc="T T T"
Tb 2.0751 0.0000 2.5937
Tb 0.0000 2.0751 7.7026
Co 2.0751 2.0751 5.1481
Ge 0.0000 0.0000 5.1481
Ge 2.0751 0.0000 8.9205
Ge 0.0000 2.0751 1.3757
Ir 2.0751 2.0751 0.0000
Ir 0.0000 0.0000 0.0000
Ir 2.0751 0.0000 6.4961
Ir 0.0000 2.0751 3.8002
```

=====

No. 5
Pm6AlIn3 | GGA-PBE | optimized geometry

Summary:
The calculation puts the total magnetic moment at 0.0 μB/f.u. For the energy of formation, the calculation gives -0.360 eV per atom.

```
20
Lattice="-4.8037 0.1630 2.4082 -4.1702 -2.6959 -8.1360 2.6696 -9.8451 5.9914" Properties=species:S:1:pos:R:3 pbc="T T T"
Pm -2.9009 -2.0864 -2.6450
Pm -3.4034 -10.2917 2.9086
Pm -1.3085 -1.8496 0.5153
Pm -4.9958 -10.5285 -0.2517
Pm -2.1767 -8.3742 -0.7750
Pm -4.1276 -4.0039 1.0386
Pm -0.8501 -5.5110 1.6774
Pm -5.4542 -6.8671 -1.4138
Pm -3.8972 -5.3658 -4.4105
Pm -2.4071 -7.0123 4.6741
Pm 0.7294 -8.8495 5.0540
Pm -7.0337 -3.5286 -4.7904
Al -3.5755 -8.4804 -3.5579
Al -2.7288 -3.8977 3.8214
In -2.3861 -5.1397 -1.4114
In -3.9182 -7.2384 1.6750
In -0.7055 -8.6929 2.1814
In -5.5988 -3.6852 -1.9178
In -1.8237 -11.5980 0.1475
In -4.4807 -0.7801 0.1161
```

=====

No. 6
K3Cu2AgCl9 | GGA-PBE | optimized geometry

Summary:
Its uncorrected formation energy is -1.065 eV/atom. The calculation puts the total magnetic moment at 0.0 μB/f.u.

```
15
Lattice="-1.5203 -5.3389 4.2388 6.6524 1.8744 -1.0075 -0.5215 5.4200 6.6398" Properties=species:S:1:pos:R:3 pbc="T T T"
K 3.5799 3.0891 5.1749
K 0.0000 0.0000 0.0000
K 1.0307 -1.1337 4.6961
Cu 3.8446 0.3383 1.8050
Cu 0.7660 1.6172 8.0660
Ag -0.2608 2.7100 3.3199
Cl -0.4644 -0.4275 7.8278
Cl 2.7477 0.4776 7.3414
Cl 0.2697 2.1504 5.7812
Cl 4.3409 -0.1950 4.0898
Cl 1.8629 1.4779 2.5296
Cl 5.0750 2.3829 2.0431
Cl -0.7601 -2.6695 2.1194
Cl 3.3262 0.9372 -0.5038
Cl 2.5660 -1.7323 1.6156
```

=====

No. 7
Ac2PmDy5 | GGA-PBE | optimized geometry

Summary:
The calculation puts the total magnetic moment at 0.0 μB/f.u. For the energy of formation, the calculation gives 0.052 eV per atom.

```
8
Lattice="-3.2181 -4.0058 1.1109 3.9840 -3.3731 -0.6219 1.8958 4.5750 9.5500" Properties=species:S:1:pos:R:3 pbc="T T T"
Ac 1.5211 -3.2471 5.1365
Ac 1.1406 0.4433 4.9025
Pm 0.0000 0.0000 0.0000
Dy 0.3830 -3.6894 0.2445
Dy 3.7302 -1.0110 7.1599
Dy 0.1291 -1.3274 8.0263
Dy -1.0684 -1.7928 2.8792
Dy 2.5326 -1.4764 2.0127
```

=====

No. 8
SrCo4B4 | GGA-PBE | optimized geometry

Summary:
The calculation puts the total magnetic moment at 0.0 μB/f.u. For the energy of formation, the calculation gives -0.324 eV per atom.

```
18
Lattice="-1.5090 -1.9962 -2.8577 6.4862 -1.1330 -2.6335 0.5317 -5.9259 3.8588" Properties=species:S:1:pos:R:3 pbc="T T T"
Sr 0.0000 0.0000 0.0000
Sr 2.7545 -4.5276 -0.8162
Co 2.2403 -6.4243 1.3309
Co 3.1181 -7.5976 -0.8375
Co 3.5978 -2.1954 -2.3400
Co 1.0459 -4.0292 1.7117
Co 5.1452 -5.9851 -1.6111
Co 5.6429 -3.4651 -1.1098
Co 1.2109 -3.0183 -3.0293
Co 0.0346 -3.5055 -0.6446
B 4.6691 -3.9511 -2.7668
B 0.5189 -5.5285 0.5266
B 5.3986 -5.0559 0.1442
B 1.2583 -6.9212 -0.3416
B 3.0626 -3.7056 -3.5406
B 1.4562 -2.1000 -1.2895
B 4.3737 -6.5306 0.2649
B 1.2983 -2.4276 0.4734
```

=====

No. 9
Li3NdCd3 | GGA-PBE | optimized geometry

Summary:
The calculation puts the total magnetic moment at 0.0 μB/f.u. For the energy of formation, the calculation gives 0.149 eV per atom.

```
14
Lattice="6.9956 0.0000 0.0000 0.0000 6.9956 0.0000 0.0000 0.0000 6.9956" Properties=species:S:1:pos:R:3 pbc="T T T"
Li 0.0000 1.7489 3.4978
Li 0.0000 5.2467 3.4978
Li 3.4978 0.0000 5.2467
Li 5.2467 3.4978 0.0000
Li 3.4978 0.0000 1.7489
Li 1.7489 3.4978 0.0000
Nd 3.4978 3.4978 3.4978
Nd 0.0000 0.0000 0.0000
Cd 1.7489 0.0000 3.4978
Cd 0.0000 3.4978 1.7489
Cd 3.4978 5.2467 0.0000
Cd 5.2467 0.0000 3.4978
Cd 0.0000 3.4978 5.2467
Cd 3.4978 1.7489 0.0000
```

=====

No. 10
ZnAgW2 | GGA-PBE | optimized geometry

Summary:
The calculation puts the total magnetic moment at 0.0 μB/f.u. For the energy of formation, the calculation gives 0.532 eV per atom.

```
4
Lattice="5.1337 -0.0091 -0.0064 2.0245 4.7176 0.0064 -3.0722 -3.1249 2.6742" Properties=species:S:1:pos:R:3 pbc="T T T"
Ag 1.3243 2.0120 1.3403
W 7.0571 4.6420 0.0000
W 2.8817 -0.3495 1.3339
Zn 3.5602 2.3418 0.0000
```

=====

No. 11
Pm2Ho5Sc12 | GGA-PBE | optimized geometry

Summary:
The calculation puts the total magnetic moment at 0.0 μB/f.u. For the energy of formation, the calculation gives 0.140 eV per atom.

```
19
Lattice="8.6321 0.0000 0.0000 -4.3160 10.7224 -1.5428 0.0000 -5.0002 6.3955" Properties=species:S:1:pos:R:3 pbc="T T T"
Pm 5.9803 0.0000 0.0000
Pm 2.6518 0.0000 0.0000
Ho 0.0000 3.3966 2.9141
Ho 0.0000 0.6077 4.9845
Ho 0.0000 -2.5001 3.1977
Ho 4.3160 5.1145 -0.1319
Ho 4.3160 2.3256 1.9385
Sc 0.0000 0.4557 1.6534
Sc -2.7754 2.6977 4.9558
Sc 2.7754 2.6977 4.9558
Sc -1.6384 6.0148 1.3855
Sc 1.6384 6.0148 1.3855
Sc 4.3160 -2.7437 4.7737
Sc 0.0000 8.4660 0.0789
Sc 5.9544 -0.2926 3.4671
Sc 2.6776 -0.2926 3.4671
Sc 7.0915 3.0245 -0.1032
Sc 1.5406 3.0245 -0.1032
Sc 4.3160 5.2665 3.1992
```

=====

No. 12
PrHo3Tl4Se8 | GGA-PBE | optimized geometry

Summary:
Its uncorrected formation energy is -1.377 eV/atom. The calculation puts the total magnetic moment at 0.0 μB/f.u.

```
16
Lattice="-4.9673 5.8602 3.4840 -6.2366 -6.4396 1.9398 7.8268 -1.1723 2.9193" Properties=species:S:1:pos:R:3 pbc="T T T"
Pr -3.1183 -3.2198 0.9699
Ho -5.6019 -0.2897 2.7119
Ho -1.6886 -0.8759 4.1715
Ho 0.7951 -3.8060 2.4295
Tl -2.4836 2.9301 1.7420
Tl 1.4297 2.3439 3.2016
Tl 0.0000 0.0000 0.0000
Tl 3.9134 -0.5861 1.4597
Se 1.9608 -4.2726 5.0286
Se -1.8360 -3.7038 3.6122
Se 0.9839 -0.9835 3.0571
Se -0.4488 -1.4298 6.7187
Se -2.9283 -0.3220 1.6244
Se -4.3611 -0.7683 5.2860
Se -1.5411 1.9521 4.7309
Se -5.3380 2.5208 3.3145
```

=====

No. 13
Y7Cd2Rh2 | GGA-PBE | optimized geometry

Summary:
The calculation puts the total magnetic moment at 0.0 μB/f.u. For the energy of formation, the calculation gives -0.347 eV per atom.

```
11
Lattice="6.7469 -0.0027 -0.8332 0.0031 7.1572 0.0032 -1.2519 -0.0023 6.6819" Properties=species:S:1:pos:R:3 pbc="T T T"
Y -0.6250 1.8009 3.3417
Y 3.3757 5.3538 -0.4140
Y 6.1231 5.3513 2.5103
Y 2.1224 1.7984 6.2660
Y 0.0000 0.0000 0.0000
Y 2.7497 5.3985 2.9270
Y 2.7484 1.7536 2.9250
Cd 4.5299 3.5745 4.8214
Cd 0.9683 3.5777 1.0306
Rh 4.4360 -0.0026 1.3380
Rh 1.0621 7.1548 4.5140
```

=====

No. 14
Pm2ThSc2 | GGA-PBE | optimized geometry

Summary:
The calculation puts the energy above the most stable polymorph in this dataset at 26.0 meV/atom. The calculation puts the total magnetic moment at 0.0 μB/f.u. For the energy of formation, the calculation gives 0.060 eV per atom.

```
5
Lattice="-2.1828 2.0330 1.8444 0.9868 -3.1169 1.2692 10.9278 6.0225 6.2940" Properties=species:S:1:pos:R:3 pbc="T T T"
Pm 9.6504 3.9567 7.0594
Pm 0.0814 0.9820 2.3483
Th 5.4639 3.0113 3.1470
Sc 6.4159 4.4730 5.9967
Sc 3.3160 0.4657 3.4110
```

=====

No. 15
Tm2LuZn | GGA-PBE | optimized geometry

Summary:
The calculation puts the energy above the most stable polymorph in this dataset at 197.2 meV/atom. The calculation puts the total magnetic moment at 0.0 μB/f.u. For the energy of formation, the calculation gives 0.038 eV per atom.

```
4
Lattice="-3.1611 2.8271 -3.0791 -1.2240 -1.7311 -4.7928 -4.8582 -1.6822 -1.0170" Properties=species:S:1:pos:R:3 pbc="T T T"
Zn -4.6217 -0.2931 -4.4445
Lu 0.0000 0.0000 0.0000
Tm -2.3108 -0.1465 -2.2223
Tm -6.9325 -0.4396 -6.6668
```

=====

No. 16
ThZrTiCd | GGA-PBE | optimized geometry

Summary:
The calculation puts the total magnetic moment at 0.0 μB/f.u. For the energy of formation, the calculation gives 0.099 eV per atom.

```
4
Lattice="5.1089 0.0000 0.0000 2.5544 4.4244 0.0000 2.5544 1.4748 4.1714" Properties=species:S:1:pos:R:3 pbc="T T T"
Ti 2.5544 1.4748 1.0428
Zr 5.1089 2.9496 2.0857
Th 0.0000 0.0000 0.0000
Cd 7.6633 4.4244 3.1285
```

=====

No. 17
UGe2Ru3 | GGA-PBE | optimized geometry

Summary:
The calculation puts the total magnetic moment at 1.4 μB/f.u. For the energy of formation, the calculation gives -0.161 eV per atom.

```
6
Lattice="3.9529 0.0000 0.0000 0.0000 4.8429 -2.7960 0.0000 0.0000 5.5921" Properties=species:S:1:pos:R:3 pbc="T T T"
U 0.0000 0.0000 0.0000
Ge 1.9764 1.6143 2.7960
Ge 1.9764 3.2286 0.0000
Ru 0.0000 2.4214 -1.3980
Ru 0.0000 2.4214 1.3980
Ru 0.0000 0.0000 2.7960
```

=====

No. 18
Ga2TcIr2 | GGA-PBE | optimized geometry

Summary:
The calculation puts the energy above the most stable polymorph in this dataset at 115.0 meV/atom. The calculation puts the total magnetic moment at 1.2 μB/f.u. For the energy of formation, the calculation gives 0.011 eV per atom.

```
10
Lattice="-2.2766 6.9344 -0.1634 -0.0595 -0.1914 -7.2976 -2.6992 -0.8851 0.0452" Properties=species:S:1:pos:R:3 pbc="T T T"
Ir -0.8811 2.3617 -6.3679
Ir -2.0058 5.8727 -4.7793
Ir -1.4550 4.3813 -1.0931
Ir -0.3303 0.8703 -2.6817
Tc 0.0000 0.0000 0.0000
Tc -1.1680 3.3715 -3.7305
Ga -1.7629 0.5689 -4.8512
Ga -2.9114 4.0032 -6.1853
Ga -3.2723 5.2890 -2.5645
Ga -2.1238 1.8547 -1.2305
```

=====

No. 19
CuGeP2O | GGA-PBE | optimized geometry

Summary:
Its uncorrected formation energy is 0.499 eV/atom. The calculation puts the total magnetic moment at 0.0 μB/f.u.

```
5
Lattice="4.7081 0.0000 0.0000 0.0000 4.7081 0.0000 0.0000 0.0000 3.5426" Properties=species:S:1:pos:R:3 pbc="T T T"
P 0.0000 2.3541 0.0000
P 2.3541 0.0000 0.0000
Ge 2.3541 2.3541 1.7713
O 0.0000 0.0000 1.7713
Cu 0.0000 0.0000 0.0000
```

=====

No. 20
CaSb5 | GGA-PBE | optimized geometry

Summary:
The calculation puts the energy above the most stable polymorph in this dataset at 216.2 meV/atom. Its uncorrected formation energy is 0.020 eV/atom. The calculation puts the total magnetic moment at 0.0 μB/f.u.

```
6
Lattice="3.1336 -5.4275 0.0000 3.1336 5.4275 0.0000 0.0000 0.0000 5.5014" Properties=species:S:1:pos:R:3 pbc="T T T"
Ca 0.0000 0.0000 0.0000
Sb 3.1336 1.8092 0.0000
Sb 3.1336 -1.8092 0.0000
Sb 1.5668 -2.7138 2.7507
Sb 1.5668 2.7138 2.7507
Sb 3.1336 0.0000 2.7507
```